Computed, not measured: BePt2Pb2 after structural relaxation at the PBE-GGA level of DFT.

Density (g cm⁻³): 13.52
Density of states at the Fermi level (states/eV/f.u.): 2.347
Crystal system: tetragonal
Energy (eV per atom): -4.6978
DFT formation energy (eV per formula unit): -0.3

Cell lengths 6.2045, 6.2045, 5.1904 Å; angles 90.00, 90.00, 90.00 degrees
Last column: nearest neighbours and their distance in Å.
Space group P4/mbm (No. 127)
Inequivalent atoms, fractional coordinates:
Be: 0.0000 0.0000 0.0000 x2  4 Pt 2.34
Pt: 0.1573 0.3427 0.0000 x4  2 Be 2.34
Pb: 0.1800 0.6800 0.5000 x4  2 Pt 2.96, 5 Pb 3.16-3.22

=====

Computed, not measured: LiLa2ErTl4 after structural relaxation at the PBE-GGA level of DFT.

Density (g cm⁻³): 9.26
Density of states at the Fermi level (states/eV/f.u.): 5.812
Crystal system: trigonal
Energy (eV per atom): -3.5874
DFT formation energy (eV per formula unit): -2.9

Cell lengths 5.3840, 5.3840, 27.2129 Å; angles 90.00, 90.00, 120.00 degrees
Last column: nearest neighbours and their distance in Å.
Space group R-3m (No. 166, hexagonal axes)
Inequivalent atoms, fractional coordinates:
Li: 0.0000 0.0000 0.0000 x3  8 Tl 3.30-3.40
La: 0.0000 0.0000 0.2551 x6  8 Tl 3.24-3.54
Er: 0.0000 0.0000 0.5000 x3  8 Tl 3.31-3.42
Tl: 0.0000 0.0000 0.1250 x6  3 Er 3.31, 4 La 3.36-3.54, 1 Li 3.40
Tl: 0.0000 0.0000 0.3744 x6  4 La 3.24-3.27, 3 Li 3.30, 1 Er 3.42

=====

Computed, not measured: NdSmZnCu after structural relaxation at the PBE-GGA level of DFT.

Density (g cm⁻³): 7.40
Density of states at the Fermi level (states/eV/f.u.): 3.358
Crystal system: cubic
Energy (eV per atom): -3.9403
DFT formation energy (eV per formula unit): -0.9

Cell lengths 7.2438, 7.2438, 7.2438 Å; angles 90.00, 90.00, 90.00 degrees
Last column: nearest neighbours and their distance in Å.
Space group F-43m (No. 216)
Inequivalent atoms, fractional coordinates:
Nd: 0.0000 0.0000 0.0000 x4  4 Cu 3.14, 4 Zn 3.14
Sm: 0.0000 0.0000 0.5000 x4  4 Zn 3.14, 4 Cu 3.14
Zn: 0.2500 0.2500 0.7500 x4  4 Nd 3.14, 4 Sm 3.14
Cu: 0.2500 0.2500 0.2500 x4  4 Nd 3.14, 4 Sm 3.14

=====

Computed, not measured: Pr4RuS2Br after structural relaxation at the PBE-GGA level of DFT.

Density (g cm⁻³): 6.36
Density of states at the Fermi level (states/eV/f.u.): 6.982
Crystal system: monoclinic
Energy (eV per atom): -6.0755

Cell lengths 7.3150, 4.0466, 7.4600 Å; angles 90.00, 107.10, 90.00 degrees
Last column: nearest neighbours and their distance in Å.
Space group P2/m (No. 10)
Inequivalent atoms, fractional coordinates:
Pr: 0.2370 0.0000 0.2151 x2  3 S 2.83-3.11, 1 Ru 2.84, 2 Br 3.15
Pr: 0.2492 0.5000 0.7679 x2  3 S 2.86-3.04, 2 Ru 2.93, 1 Br 3.09
Ru: 0.5000 0.0000 0.0000 x1  6 Pr 2.84-2.93
S: 0.0000 0.0000 0.5000 x1  6 Pr 3.04-3.11
S: 0.0000 0.5000 0.0000 x1  6 Pr 2.83-2.86
Br: 0.5000 0.5000 0.5000 x1  6 Pr 3.09-3.15

=====

Computed, not measured: Na3U2FeS6 after structural relaxation at the PBE-GGA level of DFT.

Density (g cm⁻³): 5.09
Density of states at the Fermi level (states/eV/f.u.): 18.969
Crystal system: monoclinic
Energy (eV per atom): -6.1121

Cell lengths 6.6629, 11.5484, 7.0872 Å; angles 90.00, 108.27, 90.00 degrees
Last column: nearest neighbours and their distance in Å.
Space group C2/m (No. 12)
Inequivalent atoms, fractional coordinates:
Na: 0.0000 0.0000 0.0000 x2  6 S 2.87-2.96
Na: 0.0000 0.3338 0.0000 x4  6 S 2.87-2.95
U: 0.0000 0.1667 0.5000 x4  6 S 2.71
Fe: 0.0000 0.5000 0.5000 x2  6 S 2.62-2.63
S: 0.2361 0.3384 0.7234 x8  1 Fe 2.63, 2 U 2.71, 2 Na 2.87
S: 0.2485 0.5000 0.2777 x4  1 Fe 2.62, 2 U 2.71, 2 Na 2.87

=====

Computed, not measured: Co4ReW after structural relaxation at the PBE-GGA level of DFT.

Density (g cm⁻³): 14.09
Density of states at the Fermi level (states/eV/f.u.): 9.066
Crystal system: cubic
Energy (eV per atom): -8.9493
DFT formation energy (eV per formula unit): 0.1

Cell lengths 6.5855, 6.5855, 6.5855 Å; angles 90.00, 90.00, 90.00 degrees
Last column: nearest neighbours and their distance in Å.
Space group F-43m (No. 216)
Inequivalent atoms, fractional coordinates:
Co: 0.1246 0.1246 0.1246 x16  6 Co 2.32-2.34
Re: 0.2500 0.2500 0.7500 x4  12 Co 2.73, 4 W 2.85
W: 0.0000 0.0000 0.5000 x4  12 Co 2.73, 4 Re 2.85

=====

Computed, not measured: Sc3TiCo2 after structural relaxation at the PBE-GGA level of DFT.

Density (g cm⁻³): 4.32
Density of states at the Fermi level (states/eV/f.u.): 7.258
Crystal system: orthorhombic
Energy (eV per atom): -6.8864
DFT formation energy (eV per formula unit): -0.2

Cell lengths 5.9643, 12.0870, 6.4044 Å; angles 90.00, 90.00, 90.00 degrees
Last column: nearest neighbours and their distance in Å.
Space group Ibam (No. 72)
Inequivalent atoms, fractional coordinates:
Sc: 0.0000 0.0000 0.2500 x4  4 Co 2.63
Sc: 0.0000 0.2721 0.2500 x8  4 Co 2.57-2.69
Ti: 0.0000 0.5000 0.0000 x4  2 Co 2.29
Co: 0.2251 0.1322 0.0000 x8  1 Ti 2.29

=====

Computed, not measured: MnCdMo2 after structural relaxation at the PBE-GGA level of DFT.

Density (g cm⁻³): 9.16
Density of states at the Fermi level (states/eV/f.u.): 3.333
Crystal system: orthorhombic
Energy (eV per atom): -7.6858
DFT formation energy (eV per formula unit): 1.0

Cell lengths 3.2249, 4.4766, 9.0212 Å; angles 90.00, 90.00, 90.00 degrees
Last column: nearest neighbours and their distance in Å.
Space group Cmm2 (No. 35)
Inequivalent atoms, fractional coordinates:
Mn: 0.0000 0.0000 0.0000 x2  2 Mo 2.56, 4 Mn 2.76, 2 Cd 2.85
Cd: 0.0000 0.5000 0.2602 x2  4 Cd 2.76, 2 Mn 2.85, 2 Mo 2.98
Mo: 0.0000 0.0000 0.5380 x2  6 Mo 2.71-2.76, 2 Cd 2.98
Mo: 0.0000 0.5000 0.7796 x2  2 Mn 2.56, 6 Mo 2.71-2.76